No. 1
# VB2W, optimized geometry, DFT PBE-GGA
data_VB2W
_space_group_name_H-M_alt 'P m c 21'
_space_group_IT_number 26
_cell_length_a 3.0472
_cell_length_b 4.4379
_cell_length_c 5.8212
_cell_angle_alpha 90.00
_cell_angle_beta 90.00
_cell_angle_gamma 90.00
loop_
_space_group_symop_operation_xyz
'x,y,z'
'-x,-y,z+1/2'
'-x,y,z'
'x,-y,z+1/2'
loop_
_atom_site_label
_atom_site_type_symbol
_atom_site_fract_x
_atom_site_fract_y
_atom_site_fract_z
V1 V 0.0000 0.1300 0.0000
B1 B 0.0000 0.3442 0.6438
B2 B 0.5000 0.1340 0.7118
W1 W 0.5000 0.3694 0.3495
# E_form in eV per atom: -0.64
# Calculated density in Mg/m³: 10.817
# N(E_F) in states/eV per atom: 0.55

=====

No. 2
# TmSeS2, optimized geometry, DFT PBE-GGA
data_TmSeS2
_space_group_name_H-M_alt 'P 4/n m m'
_space_group_IT_number 129
_cell_length_a 4.8727
_cell_length_b 4.8727
_cell_length_c 8.1518
_cell_angle_alpha 90.00
_cell_angle_beta 90.00
_cell_angle_gamma 90.00
loop_
_space_group_symop_operation_xyz
'x,y,z'
'-x,-y,-z'
'-y+1/2,x,z'
'y+1/2,-x,-z'
'-x+1/2,-y+1/2,z'
'x+1/2,y+1/2,-z'
'y,-x+1/2,z'
'-y,x+1/2,-z'
'x+1/2,-y,-z'
'-x+1/2,y,z'
'-y,-x,-z'
'y,x,z'
'-x,y+1/2,-z'
'x,-y+1/2,z'
'y+1/2,x+1/2,-z'
'-y+1/2,-x+1/2,z'
loop_
_atom_site_label
_atom_site_type_symbol
_atom_site_fract_x
_atom_site_fract_y
_atom_site_fract_z
Tm1 Tm 0.2500 0.2500 0.1890
Se1 Se 0.2500 0.7500 0.0000
S1 S 0.2500 0.7500 0.3759
# Formation energy from raw total energies in eV per atom: -1.01
# Calculated density in Mg/m³: 5.354
# N(E_F) in states/eV per atom: 0.46

=====

No. 3
# Pu2PbF, optimized geometry, DFT PBE-GGA
data_Pu2PbF
_space_group_name_H-M_alt 'P 4/m m m'
_space_group_IT_number 123
_space_group_name_Hall '-P 4 2'
_cell_length_a 3.3283
_cell_length_b 3.3283
_cell_length_c 8.3257
_cell_angle_alpha 90.00
_cell_angle_beta 90.00
_cell_angle_gamma 90.00
loop_
_atom_site_label
_atom_site_type_symbol
_atom_site_fract_x
_atom_site_fract_y
_atom_site_fract_z
Pu1 Pu 0.0000 0.0000 0.2119
Pb1 Pb 0.5000 0.5000 0.5000
F1 F 0.5000 0.5000 0.0000
# Formation energy from raw total energies in eV per atom: -0.88
# Calculated density in Mg/m³: 12.859
# N(E_F) in states/eV per atom: 3.57

=====

The evaluated magnetic moment for the records listed, in turn: 0.000; 0.000; 12.667 Bohr magnetons per cell.